Compound: LiMo2Ru
Source: Alexandria via LeMat-Bulk
Functional: PBE
Structure: optimized geometry

It has space group Cmm2 (No. 35), with a = 3.0670 Å, b = 4.4058 Å, c = 9.0410 Å, α = 90.00°, β = 90.00° and γ = 90.00°. The inequivalent atoms are Li at (0.0000, 0.0000, 0.0000), Mo at (0.0000, 0.0000, 0.4807), Mo at (0.0000, 0.5000, 0.7306) and Ru at (0.0000, 0.5000, 0.2429).

The calculation puts the density of states at the Fermi level at 1.112 states/eV per atom. Its energy above the lowest structure with this stoichiometry is 26.3 meV per atom.

Compound: LiMo2Ru
Source: Alexandria via LeMat-Bulk
Functional: PBE
Structure: optimized geometry

It has space group I4/mmm (No. 139), with a = 3.6944 Å, b = 3.6944 Å, c = 8.4300 Å, α = 90.00°, β = 90.00° and γ = 90.00°. The inequivalent atoms are Li at (0.0000, 0.0000, 0.0000), Mo at (0.0000, 0.5000, 0.2500) and Ru at (0.0000, 0.0000, 0.5000).

The calculation puts the density of states at the Fermi level at 1.038 states/eV per atom. Its energy above the lowest structure with this stoichiometry is 116.4 meV per atom.

Compound: LiMoRu2
Source: Alexandria via LeMat-Bulk
Functional: PBE
Structure: optimized geometry

It has space group Pm (No. 6), with a = 2.6922 Å, b = 4.0937 Å, c = 5.1440 Å, α = 90.00°, β = 101.31° and γ = 90.00°. The inequivalent atoms are Li at (0.0000, 0.0000, 0.0000), Mo at (0.5043, 0.5000, 0.2519), Ru at (0.5337, 0.5000, 0.7735) and Ru at (0.9688, 0.0000, 0.5079).

The calculation puts the density of states at the Fermi level at 0.778 states/eV per atom.

Compound: LiMoRu2
Source: Alexandria via LeMat-Bulk
Functional: PBE
Structure: optimized geometry

It has space group P2/m (No. 10), with a = 2.6651 Å, b = 4.2045 Å, c = 4.9867 Å, α = 90.00°, β = 94.26° and γ = 90.00°. The inequivalent atoms are Li at (0.0000, 0.0000, 0.0000), Mo at (0.5000, 0.0000, 0.5000) and Ru at (0.2479, 0.5000, 0.7687).

The calculation puts the density of states at the Fermi level at 0.541 states/eV per atom.

Compound: LiMoRu2
Source: Alexandria via LeMat-Bulk
Functional: PBE
Structure: optimized geometry

It has space group Cmm2 (No. 35), with a = 2.8477 Å, b = 4.4666 Å, c = 9.3185 Å, α = 90.00°, β = 90.00° and γ = 90.00°. The inequivalent atoms are Li at (0.0000, 0.0000, 0.0000), Mo at (0.0000, 0.5000, 0.2688), Ru at (0.0000, 0.0000, 0.5123) and Ru at (0.0000, 0.5000, 0.7565).

The calculation puts the density of states at the Fermi level at 1.332 states/eV per atom.

Compound: LiMoRu2
Source: Alexandria via LeMat-Bulk
Functional: PBE
Structure: optimized geometry

It has space group Cmmm (No. 65), with a = 2.9042 Å, b = 4.5027 Å, c = 8.9371 Å, α = 90.00°, β = 90.00° and γ = 90.00°. The inequivalent atoms are Li at (0.0000, 0.0000, 0.0000), Mo at (0.0000, 0.0000, 0.5000) and Ru at (0.0000, 0.5000, 0.2526).

The calculation puts the density of states at the Fermi level at 1.090 states/eV per atom.

Compound: LiMoRu
Source: Alexandria via LeMat-Bulk
Functional: PBE
Structure: optimized geometry

It has space group Imm2 (No. 44), with a = 2.7051 Å, b = 4.1188 Å, c = 7.5157 Å, α = 90.00°, β = 90.00° and γ = 90.00°. The inequivalent atoms are Li at (0.0000, 0.0000, 0.0000), Mo at (0.0000, 0.0000, 0.3329) and Ru at (0.0000, 0.0000, 0.6621).

The calculation puts the density of states at the Fermi level at 0.853 states/eV per atom. Its energy above the lowest structure with this stoichiometry is 47.1 meV per atom.

Compound: LiMo2Ru
Source: Alexandria via LeMat-Bulk
Functional: PBE
Structure: optimized geometry

It has space group Cm (No. 8), with a = 8.7803 Å, b = 2.7137 Å, c = 4.9313 Å, α = 90.00°, β = 95.52° and γ = 90.00°. The inequivalent atoms are Li at (0.0000, 0.0000, 0.0000), Mo at (0.2482, 0.0000, 0.7704), Mo at (0.4914, 0.0000, 0.4880) and Ru at (0.2454, 0.5000, 0.2501).

The calculation puts the density of states at the Fermi level at 1.281 states/eV per atom. Its energy above the lowest structure with this stoichiometry is 106.4 meV per atom.

Compound: LiMo2Ru
Source: Alexandria via LeMat-Bulk
Functional: PBE
Structure: optimized geometry

It has space group Pmmm (No. 47), with a = 2.7505 Å, b = 3.9943 Å, c = 5.2682 Å, α = 90.00°, β = 90.00° and γ = 90.00°. The inequivalent atoms are Li at (0.0000, 0.0000, 0.0000), Mo at (0.5000, 0.5000, 0.2522) and Ru at (0.0000, 0.0000, 0.5000).

The calculation puts the density of states at the Fermi level at 0.748 states/eV per atom. Its energy above the lowest structure with this stoichiometry is 36.9 meV per atom.

Compound: LiMo4Ru
Source: Alexandria via LeMat-Bulk
Functional: PBE
Structure: optimized geometry

It has space group F-43m (No. 216), with a = 7.3104 Å, b = 7.3104 Å, c = 7.3104 Å, α = 90.00°, β = 90.00° and γ = 90.00°. The inequivalent atoms are Li at (0.0000, 0.0000, 0.0000), Mo at (0.1258, 0.1258, 0.6258) and Ru at (0.2500, 0.2500, 0.2500).

The calculation puts the density of states at the Fermi level at 0.868 states/eV per atom.

Compound: LiMo2Ru
Source: Alexandria via LeMat-Bulk
Functional: PBE
Structure: optimized geometry

It has space group Fm-3m (No. 225), with a = 6.1342 Å, b = 6.1342 Å, c = 6.1342 Å, α = 90.00°, β = 90.00° and γ = 90.00°. The inequivalent atoms are Li at (0.0000, 0.0000, 0.0000), Mo at (0.2500, 0.2500, 0.2500) and Ru at (0.0000, 0.0000, 0.5000).

The calculation puts the density of states at the Fermi level at 0.756 states/eV per atom. Its energy above the lowest structure with this stoichiometry is 163.2 meV per atom.

Compound: LiMoRu2
Source: Alexandria via LeMat-Bulk
Functional: PBE
Structure: optimized geometry

It has space group C2/m (No. 12), with a = 8.3569 Å, b = 2.7108 Å, c = 4.9527 Å, α = 90.00°, β = 94.64° and γ = 90.00°. The inequivalent atoms are Li at (0.0000, 0.0000, 0.0000), Mo at (0.0000, 0.5000, 0.5000) and Ru at (0.2493, 0.0000, 0.7661).

The calculation puts the density of states at the Fermi level at 0.860 states/eV per atom.

Compound: LiMo2Ru
Source: Alexandria via LeMat-Bulk
Functional: PBE
Structure: optimized geometry

It has space group Pmm2 (No. 25), with a = 2.7335 Å, b = 3.9606 Å, c = 5.3598 Å, α = 90.00°, β = 90.00° and γ = 90.00°. The inequivalent atoms are Li at (0.0000, 0.0000, 0.0000), Mo at (0.0000, 0.0000, 0.5180), Mo at (0.5000, 0.5000, 0.2310) and Ru at (0.5000, 0.5000, 0.7648).

The calculation puts the density of states at the Fermi level at 0.875 states/eV per atom. Its energy above the lowest structure with this stoichiometry is 90.5 meV per atom.

Compound: LiMoRu2
Source: Alexandria via LeMat-Bulk
Functional: PBE
Structure: optimized geometry

It has space group P4/mmm (No. 123), with a = 3.0808 Å, b = 3.0808 Å, c = 5.7878 Å, α = 90.00°, β = 90.00° and γ = 90.00°. The inequivalent atoms are Li at (0.0000, 0.0000, 0.0000), Mo at (0.0000, 0.0000, 0.5000) and Ru at (0.5000, 0.5000, 0.2403).

The calculation puts the density of states at the Fermi level at 0.841 states/eV per atom.

Compound: LiMoRu2
Source: Alexandria via LeMat-Bulk
Functional: PBE
Structure: optimized geometry

It has space group P4mm (No. 99), with a = 3.1490 Å, b = 3.1490 Å, c = 5.5763 Å, α = 90.00°, β = 90.00° and γ = 90.00°. The inequivalent atoms are Li at (0.0000, 0.0000, 0.0000), Mo at (0.5000, 0.5000, 0.2527), Ru at (0.0000, 0.0000, 0.4984) and Ru at (0.5000, 0.5000, 0.8228).

The calculation puts the density of states at the Fermi level at 0.927 states/eV per atom.

Computed energy (eV per formula unit) in order:
-31.90, -31.54, -30.58, -30.67, -29.83, -30.44, -21.40, -31.58, -31.86, -51.91, -31.35, -30.56, -31.64, -30.97, -30.02